The following is a DFT calculation (PBE) of a relaxed Sc2RhS crystal. Values from VASP.

Cell and atoms, written as Quantum ESPRESSO input:
```
&SYSTEM
  ibrav = 0, nat = 4, ntyp = 3
/
ATOMIC_SPECIES
Sc 44.96 Sc.upf
Rh 102.91 Rh.upf
S 32.06 S.upf
ATOMIC_POSITIONS crystal
Sc 0.099 0.099 0.099
Sc 0.901 0.901 0.901
Rh 0.000 0.000 0.000
S 0.500 0.500 0.500
CELL_PARAMETERS angstrom
1.946 0.000 7.949
-0.973 1.685 7.949
-0.973 -1.685 7.949
```

Computed properties:
Energy in eV/cell: -27.1
Fermi-level density of states in states/eV per atom: 0.5779
Formation energy from raw total energies in eV per atom: -0.738